No. 1
# PBE with a Hubbard U Ba2NpNi3O12, relaxed
# - Electronic total energy: -6.04 eV per atom
data_Ba2NpNi3O12
_chemical_formula_sum 'Ba6 Np3 Ni9 O36'
_symmetry_space_group_name_H-M 'R -3 m'
_symmetry_Int_Tables_number 166
_symmetry_space_group_name_Hall '-R 3 2"'
_cell_length_a 6.7823
_cell_length_b 6.7823
_cell_length_c 18.3235
_cell_angle_alpha 90.00
_cell_angle_beta 90.00
_cell_angle_gamma 120.00
loop_
_atom_site_label
_atom_site_type_symbol
_atom_site_fract_x
_atom_site_fract_y
_atom_site_fract_z
_atom_site_occupancy
Ba1 Ba 0.0000 0.0000 0.1077 1
Np1 Np 0.0000 0.0000 0.5000 1
Ni1 Ni 0.0000 0.5000 0.0000 1
O1 O 0.0476 0.5238 0.1073 1
O2 O 0.0540 0.5270 0.3545 1

***

No. 2
# PBE with a Hubbard U Ba3Np2NiO9, relaxed
# - Electronic total energy: -7.97 eV per atom
data_Ba3Np2NiO9
_chemical_formula_sum 'Ba3 Np2 Ni1 O9'
_symmetry_space_group_name_H-M 'P -3 m 1'
_symmetry_Int_Tables_number 164
_symmetry_space_group_name_Hall '-P 3 2"'
_cell_length_a 6.0266
_cell_length_b 6.0266
_cell_length_c 7.4568
_cell_angle_alpha 90.00
_cell_angle_beta 90.00
_cell_angle_gamma 120.00
loop_
_atom_site_label
_atom_site_type_symbol
_atom_site_fract_x
_atom_site_fract_y
_atom_site_fract_z
_atom_site_occupancy
Ba1 Ba 0.0000 0.0000 0.0000 1
Ba2 Ba 0.3333 0.6667 0.6515 1
Np1 Np 0.3333 0.6667 0.1764 1
Ni1 Ni 0.0000 0.0000 0.5000 1
O1 O 0.0000 0.5000 0.0000 1
O2 O 0.1670 0.3340 0.3339 1

***

The lowest electronic total energy belongs to which entry?
Ba3Np2NiO9